Entry from Alexandria: a relaxed structure of RbTeWI2 (GGA-PBE).

abc: 6.6480 6.6480 6.6954
angles: 90.00 90.00 90.00
Closest atoms and distances in Å follow each position.
Positions (direct):
Rb 0.0000 0.0000 0.0000  4 I 3.32, 2 Te 3.35
Te 0.0000 0.0000 0.5000  2 Rb 3.35
W 0.5000 0.5000 0.5000  4 Te 4.70, 8 I 4.72
I 0.0000 0.5000 0.0000  2 Rb 3.32
I 0.5000 0.0000 0.0000  2 Rb 3.32

**Crystal system**: tetragonal
**Formation energy (no corrections)**: 1.55 eV/atom
**Theoretical density**: 3.7 g cm⁻³

=====

Entry from Alexandria: a relaxed structure of Ta2BeAl (GGA-PBE).

abc: 2.8335 2.8335 7.5504
angles: 90.00 90.00 90.00
Closest atoms and distances in Å follow each position.
Positions (direct):
Ta 0.0000 0.0000 0.0000  4 Be 2.60, 4 Ta 2.83
Ta 0.5000 0.5000 0.3239  4 Al 2.82, 4 Ta 2.83
Be 0.5000 0.5000 0.7815  4 Al 2.48, 4 Ta 2.60
Al 0.0000 0.0000 0.5871  4 Be 2.48

**Energy of formation from the pure elements**: -0.02 eV/atom
**Crystal system**: tetragonal
**Theoretical density**: 10.9 g cm⁻³